Model i:
# PBE CrTcMo, relaxed
data_CrTcMo
_space_group_name_H-M_alt 'P 1'
_space_group_IT_number 1
_cell_length_a 5.052
_cell_length_b 5.052
_cell_length_c 5.052
_cell_angle_alpha 144.92
_cell_angle_beta 144.92
_cell_angle_gamma 50.45
loop_
_space_group_symop_operation_xyz
'x,y,z'
loop_
_atom_site_label
_atom_site_type_symbol
_atom_site_fract_x
_atom_site_fract_y
_atom_site_fract_z
Cr1 Cr 0.998 0.998 0.000
Mo1 Mo 0.339 0.339 0.000
Tc1 Tc 0.663 0.663 0.000
# SG   I4mm (107)


Model ii:
# PBE CrTcMo, relaxed
data_CrTcMo
_space_group_name_H-M_alt 'P 1'
_space_group_IT_number 1
_cell_length_a 5.179
_cell_length_b 4.465
_cell_length_c 7.428
_cell_angle_alpha 90.00
_cell_angle_beta 90.00
_cell_angle_gamma 89.99
loop_
_space_group_symop_operation_xyz
'x,y,z'
loop_
_atom_site_label
_atom_site_type_symbol
_atom_site_fract_x
_atom_site_fract_y
_atom_site_fract_z
Cr1 Cr 0.326 0.000 0.339
Cr2 Cr 0.826 0.500 0.161
Cr3 Cr 0.674 0.000 0.661
Cr4 Cr 0.174 0.500 0.839
Tc1 Tc 0.185 0.000 0.662
Tc2 Tc 0.685 0.500 0.838
Tc3 Tc 0.815 0.000 0.338
Tc4 Tc 0.315 0.500 0.162
Mo1 Mo 0.000 0.000 0.000
Mo2 Mo 0.500 0.500 0.500
Mo3 Mo 0.000 0.500 0.500
Mo4 Mo 0.500 0.000 0.000
# SG   Pnnm (58)


Bottom line: model i, by a margin of 12.2 kJ/mol of atoms.


Model i:
# PBE CrTcMo, relaxed
data_CrTcMo
_space_group_name_H-M_alt 'P 1'
_space_group_IT_number 1
_cell_length_a 6.732
_cell_length_b 6.548
_cell_length_c 2.667
_cell_angle_alpha 82.32
_cell_angle_beta 74.55
_cell_angle_gamma 23.12
loop_
_space_group_symop_operation_xyz
'x,y,z'
loop_
_atom_site_label
_atom_site_type_symbol
_atom_site_fract_x
_atom_site_fract_y
_atom_site_fract_z
Cr1 Cr 0.002 0.002 0.998
Mo1 Mo 0.338 0.338 0.662
Tc1 Tc 0.660 0.660 0.340
# SG   Fmm2 (42)


Model ii:
# PBE CrTcMo, relaxed
data_CrTcMo
_space_group_name_H-M_alt 'P 1'
_space_group_IT_number 1
_cell_length_a 4.280
_cell_length_b 4.280
_cell_length_c 2.681
_cell_angle_alpha 90.00
_cell_angle_beta 90.00
_cell_angle_gamma 120.00
loop_
_space_group_symop_operation_xyz
'x,y,z'
loop_
_atom_site_label
_atom_site_type_symbol
_atom_site_fract_x
_atom_site_fract_y
_atom_site_fract_z
Cr1 Cr 0.000 0.000 0.010
Mo1 Mo 0.667 0.333 0.319
Tc1 Tc 0.333 0.667 0.671
# SG   P3m1 (156)


Bottom line: model ii, by a margin of 1.6 kJ/mol of atoms.


Model i:
# PBE CrTcMo3, relaxed
data_CrTcMo3
_space_group_name_H-M_alt 'P 1'
_space_group_IT_number 1
_cell_length_a 5.132
_cell_length_b 6.931
_cell_length_c 5.141
_cell_angle_alpha 113.88
_cell_angle_beta 62.83
_cell_angle_gamma 97.67
loop_
_space_group_symop_operation_xyz
'x,y,z'
loop_
_atom_site_label
_atom_site_type_symbol
_atom_site_fract_x
_atom_site_fract_y
_atom_site_fract_z
Cr1 Cr 0.155 0.698 0.443
Cr2 Cr 0.845 0.302 0.557
Tc1 Tc 0.248 0.500 0.748
Tc2 Tc 0.752 0.500 0.252
Mo1 Mo 0.451 0.101 0.354
Mo2 Mo 0.549 0.899 0.646
Mo3 Mo 0.052 0.899 0.151
Mo4 Mo 0.948 0.101 0.849
Mo5 Mo 0.339 0.309 0.065
Mo6 Mo 0.661 0.691 0.935
# SG   P-1 (2)


Model ii:
# PBE CrTcMo3, relaxed
data_CrTcMo3
_space_group_name_H-M_alt 'P 1'
_space_group_IT_number 1
_cell_length_a 4.412
_cell_length_b 4.412
_cell_length_c 4.412
_cell_angle_alpha 90.00
_cell_angle_beta 90.00
_cell_angle_gamma 90.00
loop_
_space_group_symop_operation_xyz
'x,y,z'
loop_
_atom_site_label
_atom_site_type_symbol
_atom_site_fract_x
_atom_site_fract_y
_atom_site_fract_z
Cr1 Cr 0.000 0.000 0.000
Mo1 Mo 0.000 0.500 0.000
Mo2 Mo 0.000 0.000 0.500
Mo3 Mo 0.500 0.000 0.000
Tc1 Tc 0.500 0.500 0.500
# SG   Pm-3m (221)


Bottom line: model i, by a margin of 120.6 kJ/mol of atoms.